(1)
PBE PmNi2H8, optimized geometry; symmetry = I4/mmm; E = -3.96 eV/atom; energy above the lowest structure with this stoichiometry = 0.040 eV per atom
1.0
-2.0735 2.0735 4.9483
2.0735 -2.0735 4.9483
2.0735 2.0735 -4.9483
Pm Ni H
1 2 8
Direct
0.0000 0.0000 0.0000
0.2500 0.7500 0.5000
0.7500 0.2500 0.5000
0.1180 0.1180 0.5629
0.1180 0.5551 0.0000
0.4449 0.4449 0.5629
0.4449 0.8820 0.0000
0.5551 0.1180 0.0000
0.5551 0.5551 0.4371
0.8820 0.4449 0.0000
0.8820 0.8820 0.4371

=====

(2)
PBE BeVSbTe2, optimized geometry; symmetry = P4/mmm; raw formation energy = 0.7430 eV per atom; E = -3.91 eV/atom; energy above the lowest structure with this stoichiometry = 0.000 eV per atom
1.0
5.1425 0.0000 0.0000
0.0000 5.1425 0.0000
0.0000 0.0000 5.2012
Be V Sb Te
1 1 1 2
Direct
0.0000 0.0000 0.0000
0.5000 0.5000 0.5000
0.5000 0.5000 0.0000
0.0000 0.5000 0.5000
0.5000 0.0000 0.5000

=====

(3)
PBE ZrPa2, optimized geometry; symmetry = I4/mmm; formation energy = 0.2 eV per formula unit; E = -9.10 eV/atom; energy above the lowest structure with this stoichiometry = 0.019 eV per atom
1.0
-1.8417 1.8417 5.3332
1.8417 -1.8417 5.3332
1.8417 1.8417 -5.3332
Zr Pa
1 2
Direct
0.0000 0.0000 0.0000
0.3251 0.3251 0.0000
0.6749 0.6749 0.0000

=====

(4)
PBE ScZnHIr2, optimized geometry; symmetry = P4/mmm; E = -6.19 eV/atom; energy above the lowest structure with this stoichiometry = 0.000 eV per atom
1.0
4.0533 0.0000 0.0000
0.0000 4.0533 0.0000
0.0000 0.0000 3.8972
Sc Zn H Ir
1 1 1 2
Direct
0.0000 0.0000 0.0000
0.5000 0.5000 0.0000
0.0000 0.0000 0.5000
0.0000 0.5000 0.5000
0.5000 0.0000 0.5000

=====

(5)
PBE Co2TcMo, optimized geometry; symmetry = I4/mmm; formation energy = 0.1 eV per formula unit; E = -8.83 eV/atom; energy above the lowest structure with this stoichiometry = 0.059 eV per atom
1.0
-1.8484 1.8484 3.7236
1.8484 -1.8484 3.7236
1.8484 1.8484 -3.7236
Co Tc Mo
2 1 1
Direct
0.2500 0.7500 0.5000
0.7500 0.2500 0.5000
0.0000 0.0000 0.0000
0.5000 0.5000 0.0000

=====

(6)
PBE Tm3AlTc, optimized geometry; symmetry = P-1; formation energy = -0.8 eV per formula unit; E = -5.66 eV/atom
1.0
3.4504 0.0000 0.0000
1.2028 8.3052 0.0000
0.4880 0.5060 8.6011
Tm Al Tc
6 2 2
Direct
0.0831 0.3306 0.3101
0.2424 0.0561 0.6875
0.3098 0.6871 0.0547
0.6902 0.3129 0.9453
0.7576 0.9439 0.3125
0.9169 0.6694 0.6899
0.4629 0.6234 0.3965
0.5371 0.3766 0.6035
0.2403 0.0800 0.0807
0.7597 0.9200 0.9193

=====

Record order is preserved below.
Density of states at the Fermi level: 0.087; 0.773; 2.205; 0.273; 1.069; 0.653 states/eV/atom